No. 1
# SiAsW, optimized geometry, DFT PBE-GGA
data_SiAsW
_chemical_formula_sum 'Si4 As4 W4'
_symmetry_space_group_name_H-M 'F -4 3 m'
_symmetry_Int_Tables_number 216
_symmetry_space_group_name_Hall 'F -4 2 3'
_cell_length_a 5.940
_cell_length_b 5.940
_cell_length_c 5.940
_cell_angle_alpha 90.00
_cell_angle_beta 90.00
_cell_angle_gamma 90.00
loop_
_atom_site_label
_atom_site_fract_x
_atom_site_fract_y
_atom_site_fract_z
Si1 0.000 0.000 0.000
As1 0.250 0.250 0.250
W1 0.250 0.250 0.750
# Formation energy from raw total energies = 0.769 eV per atom
# Distance to the lowest polymorph of the same formula = 851 meV per atom
# N(E_F) = 8.9 states/eV per cell

No. 2
# TiV7, optimized geometry, DFT PBE-GGA
data_TiV7
_chemical_formula_sum 'Ti6 V42'
_symmetry_space_group_name_H-M 'R -3 m'
_symmetry_Int_Tables_number 166
_symmetry_space_group_name_Hall '-R 3 2"'
_cell_length_a 8.5739
_cell_length_b 8.5739
_cell_length_c 10.4832
_cell_angle_alpha 90.00
_cell_angle_beta 90.00
_cell_angle_gamma 120.00
loop_
_atom_site_label
_atom_site_fract_x
_atom_site_fract_y
_atom_site_fract_z
Ti1 0.0000 0.0000 0.1297
V1 0.0000 0.0000 0.3796
V2 0.0054 0.5027 0.1236
V3 0.0060 0.5030 0.3741
# N(E_F) = 94.9 states/eV per cell
# Raw total energy = -8.93 eV/atom

Please write out number 1 again, unchanged.
# SiAsW, optimized geometry, DFT PBE-GGA
data_SiAsW
_chemical_formula_sum 'Si4 As4 W4'
_symmetry_space_group_name_H-M 'F -4 3 m'
_symmetry_Int_Tables_number 216
_symmetry_space_group_name_Hall 'F -4 2 3'
_cell_length_a 5.940
_cell_length_b 5.940
_cell_length_c 5.940
_cell_angle_alpha 90.00
_cell_angle_beta 90.00
_cell_angle_gamma 90.00
loop_
_atom_site_label
_atom_site_fract_x
_atom_site_fract_y
_atom_site_fract_z
Si1 0.000 0.000 0.000
As1 0.250 0.250 0.250
W1 0.250 0.250 0.750
# Formation energy from raw total energies = 0.769 eV per atom
# Distance to the lowest polymorph of the same formula = 851 meV per atom
# N(E_F) = 8.9 states/eV per cell

Q: Look up the N(E_F) of the second one.
A: 94.9 states/eV per cell